An optimized crystal structure of GaPbF2. Source: Alexandria, functional PBE.

Unit cell a=4.628 b=4.628 c=4.628 alpha=60.00 beta=60.00 gamma=60.00
Atoms (fractional coordinates):
Pb1 0.500 0.500 0.500
Ga1 0.000 0.000 0.000
F1 0.250 0.250 0.250
F2 0.750 0.750 0.750

Calculated values
Formation energy (no corrections): -1319 meV per atom
DOS at the Fermi energy: 1.44 states/eV/cell
Energy: -3.94 eV per atom
Relative energy among the computed polymorphs: 170 meV per atom